[1]
12
Lattice="6.287 0.000 0.000 0.000 6.287 0.000 0.000 0.000 6.287" Properties=species:S:1:pos:R:3 comment="CdIr2 PBE-GGA optimized geometry" formation_enthalpy_0k_ev_per_atom=1.44 dft_energy_ev_per_atom=-4.769 mass_density_g_cm3=13.3 pbc="T T T"
Cd 0.000 0.000 0.000
Cd 0.000 3.143 3.143
Cd 3.143 0.000 3.143
Cd 3.143 3.143 0.000
Ir 0.679 3.822 5.608
Ir 0.679 5.608 2.465
Ir 2.465 0.679 5.608
Ir 2.465 2.465 2.465
Ir 3.822 3.822 3.822
Ir 3.822 5.608 0.679
Ir 5.608 0.679 3.822
Ir 5.608 2.465 0.679

***

[2]
14
Lattice="6.950 0.000 0.000 0.000 6.300 0.000 -3.402 0.000 8.118" Properties=species:S:1:pos:R:3 comment="LiTm4Al2 PBE-GGA optimized geometry" formation_enthalpy_0k_ev_per_atom=-0.04 dft_energy_ev_per_atom=-3.941 mass_density_g_cm3=6.9 de_polymorph_ev_per_atom=0.091 pbc="T T T"
Li -0.793 1.575 2.873
Li 4.340 4.725 5.245
Tm -1.219 1.575 5.808
Tm 1.530 3.214 2.238
Tm 1.530 6.236 2.238
Tm -0.501 4.725 7.540
Tm 4.049 1.575 0.577
Tm 2.017 0.064 5.879
Tm 2.017 3.086 5.879
Tm 4.767 4.725 2.310
Al 0.199 1.575 0.034
Al -0.079 4.725 4.482
Al 3.627 1.575 3.635
Al 3.349 4.725 8.084

***

[3]
4
Lattice="2.624 -4.261 0.000 2.624 4.261 0.000 0.000 0.000 2.879" Properties=species:S:1:pos:R:3 comment="ZnHgOs2 PBE-GGA optimized geometry" formation_enthalpy_0k_ev_per_atom=0.87 dft_energy_ev_per_atom=-5.136 mass_density_g_cm3=16.7 de_polymorph_ev_per_atom=0.595 pbc="T T T"
Zn 0.000 0.000 0.000
Hg 2.624 0.000 0.000
Os 1.312 2.131 1.439
Os 1.312 -2.131 1.439

***

[4]
5
Lattice="3.703 0.000 0.000 0.000 3.703 0.000 0.000 0.000 4.263" Properties=species:S:1:pos:R:3 comment="ZnCo2PdN PBE-GGA optimized geometry" raw_formation_energy_ev_per_atom=0.0074 dft_energy_ev_per_atom=-5.793 mass_density_g_cm3=8.6 de_polymorph_ev_per_atom=0.032 pbc="T T T"
Zn 0.000 0.000 0.000
Co 0.000 1.851 2.132
Co 1.851 0.000 2.132
Pd 1.851 1.851 0.000
N 0.000 0.000 2.132

***

[5]
7
Lattice="-2.974 2.974 2.974 2.974 -2.974 2.974 2.974 2.974 -2.974" Properties=species:S:1:pos:R:3 comment="VCo6 PBE-GGA optimized geometry" formation_enthalpy_0k_ev_per_atom=1.15 dft_energy_ev_per_atom=-6.245 mass_density_g_cm3=6.4 pbc="T T T"
V 0.000 0.000 0.000
Co 2.974 1.487 0.000
Co 2.974 0.000 1.487
Co 1.487 2.974 0.000
Co 1.487 0.000 2.974
Co 0.000 2.974 1.487
Co 0.000 1.487 2.974

***

[6]
10
Lattice="7.802 -2.269 0.000 7.802 2.269 0.000 -6.550 0.000 10.422" Properties=species:S:1:pos:R:3 comment="CsZnSnSb2 PBE-GGA optimized geometry" raw_formation_energy_ev_per_atom=-0.2151 dft_energy_ev_per_atom=-3.090 mass_density_g_cm3=5.0 pbc="T T T"
Cs 1.671 0.000 1.583
Cs 7.382 0.000 8.839
Zn -3.715 0.000 7.751
Zn 12.768 0.000 2.671
Sn 1.787 0.000 6.103
Sn 7.266 0.000 4.319
Sb -1.880 0.000 5.703
Sb 5.853 0.000 1.659
Sb 3.200 0.000 8.763
Sb 10.933 0.000 4.719

***

[7]
12
Lattice="2.523 1.457 8.115 -2.523 1.457 8.115 0.000 -2.913 8.115" Properties=species:S:1:pos:R:3 comment="AcEr2Ni9 PBE-GGA optimized geometry" formation_enthalpy_0k_ev_per_atom=-0.37 dft_energy_ev_per_atom=-5.805 mass_density_g_cm3=10.1 pbc="T T T"
Ac 0.000 0.000 0.000
Er 0.000 0.000 3.439
Er 0.000 0.000 20.905
Ni -1.267 -0.732 10.180
Ni 0.000 0.000 8.096
Ni 0.000 -1.463 14.164
Ni -1.267 0.732 14.164
Ni 0.000 0.000 12.172
Ni 1.267 -0.732 10.180
Ni 0.000 1.463 10.180
Ni 0.000 0.000 16.248
Ni 1.267 0.732 14.164

***

[8]
4
Lattice="0.000 3.911 3.911 3.911 0.000 3.911 3.911 3.911 0.000" Properties=species:S:1:pos:R:3 comment="Na2AcSb PBE-GGA optimized geometry" raw_formation_energy_ev_per_atom=-0.0964 dft_energy_ev_per_atom=-2.814 mass_density_g_cm3=5.5 pbc="T T T"
Na 1.955 1.955 1.955
Na 5.866 5.866 5.866
Ac 0.000 0.000 0.000
Sb 3.911 3.911 3.911

***

Q: Which DOS at the Fermi energy values were calculated for the entries above? A: 5.45; 6.41; 4.78; 3.68; 11.88; 0.30; 15.79; 2.90, in states/eV/f.u..